(1)
Entry from Alexandria via LeMat-Bulk: a crystal of TcPt2Rh relaxed with PBEsol (meta-GGA SCAN).

Structure (extended XYZ):
```
4
Lattice="2.704 0.000 0.000 0.000 3.890 0.000 0.000 0.000 5.406" Properties=species:S:1:pos:R:3 pbc="T T T"
Tc 0.000 0.000 0.000
Pt 1.352 1.945 1.325
Pt 1.352 1.945 4.081
Rh 0.000 0.000 2.703
```

Results
ΔH_f (0 K) = -149 meV per atom
E above lowest polymorph = 39 meV per atom
SG = Pmmm (47)

(2)
Entry from Alexandria via LeMat-Bulk: a crystal of TcPt2Rh relaxed with PBEsol (meta-GGA SCAN).

Structure (extended XYZ):
```
4
Lattice="2.704 0.000 0.000 0.000 2.704 0.000 0.000 0.000 7.819" Properties=species:S:1:pos:R:3 pbc="T T T"
Tc 0.000 0.000 0.000
Pt 0.000 0.000 4.008
Pt 1.352 1.352 1.922
Rh 1.352 1.352 6.014
```

Results
ΔH_f (0 K) = -188 meV per atom
E above lowest polymorph = 0 meV per atom
SG = P4mm (99)

(3)
Entry from Alexandria via LeMat-Bulk: a crystal of TcPtRh2 relaxed with PBEsol (meta-GGA SCAN).

Structure (extended XYZ):
```
4
Lattice="1.345 0.777 8.889 -1.345 0.777 8.889 0.000 -1.554 8.889" Properties=species:S:1:pos:R:3 pbc="T T T"
Tc 0.000 0.000 0.000
Pt 0.000 0.000 13.334
Rh 0.000 0.000 6.763
Rh 0.000 0.000 19.905
```

Results
ΔH_f (0 K) = -125 meV per atom
E above lowest polymorph = 22 meV per atom
SG = R-3m (166)

(4)
Entry from Alexandria via LeMat-Bulk: a crystal of TcPtRh2 relaxed with PBEsol (meta-GGA SCAN).

Structure (extended XYZ):
```
4
Lattice="2.689 0.000 0.000 0.000 3.797 0.000 0.000 0.000 5.435" Properties=species:S:1:pos:R:3 pbc="T T T"
Tc 0.000 0.000 0.000
Pt 0.000 0.000 2.718
Rh 1.345 1.899 1.306
Rh 1.345 1.899 4.129
```

Results
ΔH_f (0 K) = -147 meV per atom
E above lowest polymorph = 0 meV per atom
SG = Pmmm (47)

(5)
Entry from Alexandria via LeMat-Bulk: a crystal of TcPtRh relaxed with PBEsol (meta-GGA SCAN).

Structure (extended XYZ):
```
3
Lattice="2.703 0.000 0.000 -1.352 2.341 0.000 0.000 0.000 6.667" Properties=species:S:1:pos:R:3 pbc="T T T"
Tc 0.000 0.000 0.000
Pt 0.000 1.561 4.421
Rh 1.352 0.780 2.092
```

Results
ΔH_f (0 K) = -131 meV per atom
E above lowest polymorph = 100 meV per atom
SG = P3m1 (156)

(6)
Entry from Alexandria via LeMat-Bulk: a crystal of TcPtRh2 relaxed with PBEsol (meta-GGA SCAN).

Structure (extended XYZ):
```
4
Lattice="2.683 0.000 0.000 0.000 3.838 0.000 0.000 0.000 5.388" Properties=species:S:1:pos:R:3 pbc="T T T"
Tc 0.000 0.000 0.000
Pt 1.341 1.919 1.382
Rh 0.000 0.000 2.774
Rh 1.341 1.919 4.128
```

Results
ΔH_f (0 K) = -130 meV per atom
E above lowest polymorph = 17 meV per atom
SG = Pmm2 (25)

(7)
Entry from Alexandria via LeMat-Bulk: a crystal of TcPtRh relaxed with PBEsol (meta-GGA SCAN).

Structure (extended XYZ):
```
3
Lattice="-1.348 1.348 5.793 1.348 -1.348 5.793 1.348 1.348 -5.793" Properties=species:S:1:pos:R:3 pbc="T T T"
Tc 0.000 0.000 0.000
Pt 0.000 0.000 7.737
Rh 0.000 0.000 4.012
```

Results
ΔH_f (0 K) = -228 meV per atom
E above lowest polymorph = 3 meV per atom
SG = I4mm (107)

(8)
Entry from Alexandria via LeMat-Bulk: a crystal of TcPtRh2 relaxed with PBEsol (meta-GGA SCAN).

Structure (extended XYZ):
```
4
Lattice="2.704 -3.814 0.000 2.704 3.814 0.000 0.000 0.000 2.689" Properties=species:S:1:pos:R:3 pbc="T T T"
Tc 0.000 0.000 0.000
Pt 2.704 0.000 0.000
Rh 1.352 1.907 1.345
Rh 1.352 -1.907 1.345
```

Results
ΔH_f (0 K) = -61 meV per atom
E above lowest polymorph = 86 meV per atom
SG = Cmmm (65)

(9)
Entry from Alexandria via LeMat-Bulk: a crystal of TcPtRh2 relaxed with PBEsol (meta-GGA SCAN).

Structure (extended XYZ):
```
4
Lattice="1.346 0.777 8.868 -1.346 0.777 8.868 0.000 -1.554 8.868" Properties=species:S:1:pos:R:3 pbc="T T T"
Tc 0.000 0.000 0.000
Pt 0.000 0.000 19.976
Rh 0.000 0.000 6.746
Rh 0.000 0.000 13.395
```

Results
ΔH_f (0 K) = -79 meV per atom
E above lowest polymorph = 68 meV per atom
SG = R3m (160)

(10)
Entry from Alexandria via LeMat-Bulk: a crystal of Te4PtRh relaxed with PBEsol (meta-GGA SCAN).

Structure (extended XYZ):
```
6
Lattice="0.000 4.188 4.188 4.188 0.000 4.188 4.188 4.188 0.000" Properties=species:S:1:pos:R:3 pbc="T T T"
Te 1.051 1.051 1.051
Te 3.137 3.137 1.051
Te 3.137 1.051 3.137
Te 1.051 3.137 3.137
Pt 4.188 4.188 4.188
Rh 6.282 6.282 6.282
```

Results
ΔE_f (raw) = 1.208 eV/atom
SG = F-43m (216)

(11)
Entry from Alexandria via LeMat-Bulk: a crystal of Te2Pt2Rh relaxed with PBEsol (meta-GGA SCAN).

Structure (extended XYZ):
```
10
Lattice="-3.149 5.447 2.742 3.149 -5.447 2.742 3.149 5.447 -2.742" Properties=species:S:1:pos:R:3 pbc="T T T"
Te 1.456 1.632 0.000
Te 1.456 -1.632 2.742
Te 1.694 7.079 0.000
Te 1.694 3.815 2.742
Pt 3.992 1.199 0.000
Pt 0.842 4.248 0.000
Pt 2.307 1.199 2.742
Pt -0.842 4.248 2.742
Rh 0.000 0.000 1.371
Rh 0.000 0.000 4.113
```

Results
ΔE_f (raw) = -0.309 eV/atom
SG = Ibam (72)

(12)
Entry from Alexandria via LeMat-Bulk: a crystal of TePtRh2 relaxed with PBEsol (meta-GGA SCAN).

Structure (extended XYZ):
```
4
Lattice="4.216 -1.750 0.000 4.216 1.750 0.000 -1.443 0.000 4.331" Properties=species:S:1:pos:R:3 pbc="T T T"
Te 0.000 0.000 0.000
Pt 3.494 0.000 2.165
Rh 1.068 0.000 3.235
Rh 5.920 0.000 1.096
```

Results
E above lowest polymorph = 0 meV per atom
ΔE_f (raw) = -0.015 eV/atom
SG = C2/m (12)

(13)
Entry from Alexandria via LeMat-Bulk: a crystal of TePtRh2 relaxed with PBEsol (meta-GGA SCAN).

Structure (extended XYZ):
```
4
Lattice="3.415 0.000 0.000 0.000 3.415 0.000 0.000 0.000 5.530" Properties=species:S:1:pos:R:3 pbc="T T T"
Te 0.000 0.000 0.000
Pt 1.708 1.708 1.639
Rh 0.000 0.000 2.840
Rh 1.708 1.708 4.240
```

Results
E above lowest polymorph = 92 meV per atom
ΔE_f (raw) = 0.077 eV/atom
SG = P4mm (99)

(14)
Entry from Alexandria via LeMat-Bulk: a crystal of TePtRh2 relaxed with PBEsol (meta-GGA SCAN).

Structure (extended XYZ):
```
4
Lattice="0.000 3.163 3.163 3.163 0.000 3.163 3.163 3.163 0.000" Properties=species:S:1:pos:R:3 pbc="T T T"
Te 0.000 0.000 0.000
Pt 1.582 1.582 1.582
Rh 3.163 3.163 3.163
Rh 4.745 4.745 4.745
```

Results
E above lowest polymorph = 101 meV per atom
ΔE_f (raw) = 0.086 eV/atom
SG = F-43m (216)

(15)
Entry from Alexandria via LeMat-Bulk: a crystal of Te3PtRh relaxed with PBEsol (meta-GGA SCAN).

Structure (extended XYZ):
```
5
Lattice="5.160 0.000 0.000 0.000 5.160 0.000 0.000 0.000 5.160" Properties=species:S:1:pos:R:3 pbc="T T T"
Te 0.000 0.000 2.580
Te 0.000 2.580 0.000
Te 2.580 0.000 0.000
Pt 0.000 0.000 0.000
Rh 2.580 2.580 2.580
```

Results
ΔE_f (raw) = 0.899 eV/atom
SG = Pm-3m (221)

(16)
Entry from Alexandria via LeMat-Bulk: a crystal of Tl2PtRh relaxed with PBEsol (meta-GGA SCAN).

Structure (extended XYZ):
```
4
Lattice="3.072 -3.727 0.000 3.072 3.727 0.000 0.000 0.000 3.137" Properties=species:S:1:pos:R:3 pbc="T T T"
Tl 1.536 1.864 0.000
Tl 1.536 -1.864 0.000
Pt 0.000 0.000 1.568
Rh 3.072 0.000 1.568
```

Results
ΔH_f (0 K) = 178 meV per atom
E above lowest polymorph = 38 meV per atom
SG = Cmmm (65)

(17)
Entry from Alexandria via LeMat-Bulk: a crystal of Tl2PtRh relaxed with PBEsol (meta-GGA SCAN).

Structure (extended XYZ):
```
4
Lattice="3.073 0.000 0.000 0.000 4.378 0.000 0.000 0.000 5.571" Properties=species:S:1:pos:R:3 pbc="T T T"
Tl 0.000 0.000 0.000
Tl 1.536 2.189 2.083
Pt 0.000 0.000 2.869
Rh 1.536 2.189 4.856
```

Results
ΔH_f (0 K) = 214 meV per atom
E above lowest polymorph = 75 meV per atom
SG = Pmm2 (25)

(18)
Entry from Alexandria via LeMat-Bulk: a crystal of Tl2PtRh relaxed with PBEsol (meta-GGA SCAN).

Structure (extended XYZ):
```
4
Lattice="-1.840 1.977 5.147 1.840 -1.977 5.147 1.840 1.977 -5.147" Properties=species:S:1:pos:R:3 pbc="T T T"
Tl 0.000 0.000 0.000
Tl 0.000 1.977 2.481
Pt 1.840 0.000 3.084
Rh 0.000 0.000 5.551
```

Results
ΔH_f (0 K) = 174 meV per atom
E above lowest polymorph = 35 meV per atom
SG = Imm2 (44)

(19)
Entry from Alexandria via LeMat-Bulk: a crystal of TlPtRh2 relaxed with PBEsol (meta-GGA SCAN).

Structure (extended XYZ):
```
4
Lattice="4.577 -1.449 0.000 4.577 1.449 0.000 -0.874 0.000 4.731" Properties=species:S:1:pos:R:3 pbc="T T T"
Tl 0.000 0.000 0.000
Pt 1.604 0.000 3.448
Rh 4.112 0.000 2.333
Rh 6.653 0.000 1.251
```

Results
ΔH_f (0 K) = 142 meV per atom
E above lowest polymorph = 0 meV per atom
SG = Cm (8)

(20)
Entry from Alexandria via LeMat-Bulk: a crystal of TlPtRh2 relaxed with PBEsol (meta-GGA SCAN).

Structure (extended XYZ):
```
4
Lattice="-1.420 2.399 4.660 1.420 -2.399 4.660 1.420 2.399 -4.660" Properties=species:S:1:pos:R:3 pbc="T T T"
Tl 0.000 0.000 0.000
Pt 0.000 0.000 4.660
Rh 1.420 0.000 2.373
Rh 0.000 2.399 2.287
```

Results
ΔH_f (0 K) = 263 meV per atom
E above lowest polymorph = 121 meV per atom
SG = Immm (71)

(21)
Entry from Alexandria via LeMat-Bulk: a crystal of Tl2PtRh relaxed with PBEsol (meta-GGA SCAN).

Structure (extended XYZ):
```
4
Lattice="3.155 0.000 0.000 0.000 4.466 0.000 -1.584 0.000 5.244" Properties=species:S:1:pos:R:3 pbc="T T T"
Tl 0.000 0.000 0.000
Tl -0.011 2.233 3.032
Pt 1.579 2.233 0.607
Rh 1.565 0.000 2.456
```

Results
ΔH_f (0 K) = 139 meV per atom
E above lowest polymorph = 0 meV per atom
SG = Pm (6)

(22)
Entry from Alexandria via LeMat-Bulk: a crystal of TlPt2Rh relaxed with PBEsol (meta-GGA SCAN).

Structure (extended XYZ):
```
4
Lattice="4.635 -1.493 0.000 4.635 1.493 0.000 -0.910 0.000 4.653" Properties=species:S:1:pos:R:3 pbc="T T T"
Tl 0.000 0.000 0.000
Pt 1.616 0.000 3.425
Pt 6.744 0.000 1.228
Rh 4.180 0.000 2.327
```

Results
ΔH_f (0 K) = 130 meV per atom
SG = C2/m (12)

(23)
Entry from Alexandria via LeMat-Bulk: a crystal of TlPtRh2 relaxed with PBEsol (meta-GGA SCAN).

Structure (extended XYZ):
```
4
Lattice="2.822 0.000 0.000 0.000 4.669 0.000 -0.057 0.000 4.839" Properties=species:S:1:pos:R:3 pbc="T T T"
Tl 0.000 0.000 0.000
Pt 1.382 0.000 2.419
Rh 0.689 2.334 3.559
Rh 2.076 2.334 1.280
```

Results
ΔH_f (0 K) = 240 meV per atom
E above lowest polymorph = 98 meV per atom
SG = P2/m (10)

(24)
Entry from Alexandria via LeMat-Bulk: a crystal of TlPt2Rh2 relaxed with PBEsol (meta-GGA SCAN).

Structure (extended XYZ):
```
5
Lattice="-1.808 1.808 6.537 1.808 -1.808 6.537 1.808 1.808 -6.537" Properties=species:S:1:pos:R:3 pbc="T T T"
Tl 0.000 0.000 0.000
Pt 0.000 0.000 5.206
Pt 0.000 0.000 7.868
Rh 1.808 0.000 3.269
Rh 0.000 1.808 3.269
```

Results
ΔH_f (0 K) = 301 meV per atom
E above lowest polymorph = 49 meV per atom
SG = I4/mmm (139)

(25)
Entry from Alexandria via LeMat-Bulk: a crystal of TlPt2Rh2 relaxed with PBEsol (meta-GGA SCAN).

Structure (extended XYZ):
```
5
Lattice="-1.848 1.848 6.254 1.848 -1.848 6.254 1.848 1.848 -6.254" Properties=species:S:1:pos:R:3 pbc="T T T"
Tl 0.000 0.000 0.000
Pt 1.848 0.000 3.127
Pt 0.000 1.848 3.127
Rh 0.000 0.000 5.025
Rh 0.000 0.000 7.483
```

Results
ΔH_f (0 K) = 252 meV per atom
E above lowest polymorph = 0 meV per atom
SG = I4/mmm (139)

(26)
Entry from Alexandria via LeMat-Bulk: a crystal of Tm2PtRh relaxed with PBEsol (meta-GGA SCAN).

Structure (extended XYZ):
```
4
Lattice="0.000 3.361 3.361 3.361 0.000 3.361 3.361 3.361 0.000" Properties=species:S:1:pos:R:3 pbc="T T T"
Tm 1.680 1.680 1.680
Tm 5.041 5.041 5.041
Pt 0.000 0.000 0.000
Rh 3.361 3.361 3.361
```

Results
ΔH_f (0 K) = -1297 meV per atom
SG = Fm-3m (225)

(27)
Entry from Alexandria via LeMat-Bulk: a crystal of VPtRh relaxed with PBEsol (meta-GGA SCAN).

Structure (extended XYZ):
```
6
Lattice="1.350 -6.988 0.000 1.350 6.988 0.000 0.000 0.000 4.328" Properties=species:S:1:pos:R:3 pbc="T T T"
V 1.350 5.392 3.246
V 1.350 -5.392 1.082
Pt 1.350 0.793 3.246
Pt 1.350 -0.793 1.082
Rh 1.350 3.798 1.082
Rh 1.350 -3.798 3.246
```

Results
ΔH_f (0 K) = -613 meV per atom
SG = Cmcm (63)

(28)
Entry from Alexandria via LeMat-Bulk: a crystal of PtRhW2 relaxed with PBEsol (meta-GGA SCAN).

Structure (extended XYZ):
```
4
Lattice="-1.916 1.916 4.012 1.916 -1.916 4.012 1.916 1.916 -4.012" Properties=species:S:1:pos:R:3 pbc="T T T"
Pt 0.000 0.000 0.000
Rh 0.000 0.000 4.012
W 1.916 0.000 2.006
W 0.000 1.916 2.006
```

Results
ΔH_f (0 K) = -263 meV per atom
E above lowest polymorph = 13 meV per atom
SG = I4/mmm (139)

(29)
Entry from Alexandria via LeMat-Bulk: a crystal of PtRh3W relaxed with PBEsol (meta-GGA SCAN).

Structure (extended XYZ):
```
5
Lattice="4.565 0.000 0.000 0.000 4.565 0.000 0.000 0.000 4.565" Properties=species:S:1:pos:R:3 pbc="T T T"
Pt 0.000 0.000 0.000
Rh 0.000 2.283 2.283
Rh 2.283 0.000 2.283
Rh 2.283 2.283 0.000
W 2.283 2.283 2.283
```

Results
ΔH_f (0 K) = 1425 meV per atom
SG = Pm-3m (221)

(30)
Entry from Alexandria via LeMat-Bulk: a crystal of PtRhW2 relaxed with PBEsol (meta-GGA SCAN).

Structure (extended XYZ):
```
4
Lattice="2.711 0.000 0.000 0.000 2.711 0.000 0.000 0.000 8.018" Properties=species:S:1:pos:R:3 pbc="T T T"
Pt 0.000 0.000 0.000
Rh 0.000 0.000 4.009
W 1.356 1.356 2.061
W 1.356 1.356 5.957
```

Results
ΔH_f (0 K) = -229 meV per atom
E above lowest polymorph = 48 meV per atom
SG = P4/mmm (123)